Record 1
The following is a PBEsol calculation of crystalline Tl2ZnTe at its relaxed geometry, from Alexandria.

Calculated values
As for the space group: Pm, No. 6. As for the energy above the lowest structure with this stoichiometry: 0.0 meV per atom.

Geometry as POSCAR:
```
Tl2ZnTe
1.0
4.1984 0.0000 0.0000
0.0000 4.0335 0.0000
-2.0380 0.0000 6.4284
Tl Zn Te
2 1 1
direct
0.0000 0.0000 0.0000 Tl
0.3299 0.5000 0.6688 Tl
0.5715 0.5000 0.1453 Zn
0.7115 0.0000 0.4275 Te
```

Record 2
The following is a PBEsol calculation of crystalline NaSnPHO4F at its relaxed geometry, from Alexandria.

Calculated values
As for the space group: Pnma, No. 62.

Geometry as POSCAR:
```
NaSnPHO4F
1.0
4.7630 0.0000 0.0000
0.0000 5.2006 0.0000
0.0000 0.0000 18.6214
Na Sn P H O F
4 4 4 4 16 4
direct
0.2258 0.2500 0.0066 Na
0.2742 0.7500 0.5066 Na
0.7258 0.2500 0.4934 Na
0.7742 0.7500 0.9934 Na
0.2232 0.7500 0.1416 Sn
0.2768 0.2500 0.6415 Sn
0.7232 0.7500 0.3584 Sn
0.7768 0.2500 0.8584 Sn
0.2447 0.7500 0.8680 P
0.2553 0.2500 0.3680 P
0.7447 0.7500 0.6320 P
0.7553 0.2500 0.1320 P
0.0057 0.7500 0.7612 H
0.4943 0.2500 0.2612 H
0.5057 0.7500 0.7388 H
0.9943 0.2500 0.2388 H
0.0605 0.7500 0.6223 O
0.1039 0.5073 0.8987 O
0.1039 0.9927 0.8987 O
0.2030 0.7500 0.7817 O
0.2970 0.2500 0.2817 O
0.3961 0.0073 0.3987 O
0.3961 0.4927 0.3987 O
0.4395 0.2500 0.1223 O
0.5605 0.7500 0.8777 O
0.6039 0.5073 0.6013 O
0.6039 0.9927 0.6013 O
0.7030 0.7500 0.7183 O
0.7970 0.2500 0.2183 O
0.8961 0.0073 0.1013 O
0.8961 0.4927 0.1013 O
0.9395 0.2500 0.3777 O
0.1778 0.2500 0.5339 F
0.3222 0.7500 0.0339 F
0.6778 0.2500 0.9661 F
0.8222 0.7500 0.4661 F
```

Record 3
The following is a PBEsol calculation of crystalline YBe3Tl at its relaxed geometry, from Alexandria.

Calculated values
As for the space group: Pm-3m, No. 221. The formation energy is 0.7842 eV/atom.

Geometry as POSCAR:
```
YBe3Tl
1.0
4.4919 0.0000 0.0000
0.0000 4.4919 0.0000
0.0000 0.0000 4.4919
Y Be Tl
1 3 1
direct
0.0000 0.0000 0.0000 Y
0.0000 0.5000 0.5000 Be
0.5000 0.0000 0.5000 Be
0.5000 0.5000 0.0000 Be
0.5000 0.5000 0.5000 Tl
```

Record 4
The following is a PBEsol calculation of crystalline AgOs2PbC at its relaxed geometry, from Alexandria.

Calculated values
As for the space group: P4/mmm, No. 123. The formation energy is 3.7912 eV/atom.

Geometry as POSCAR:
```
AgOs2PbC
1.0
4.8242 0.0000 0.0000
0.0000 4.8242 0.0000
0.0000 0.0000 5.1915
Ag Os Pb C
1 2 1 1
direct
0.0000 0.0000 0.0000 Ag
0.0000 0.5000 0.0000 Os
0.5000 0.0000 0.0000 Os
0.0000 0.0000 0.5000 Pb
0.5000 0.5000 0.5000 C
```

Record 5
The following is a PBEsol calculation of crystalline Sc3GePt at its relaxed geometry, from Alexandria.

Calculated values
As for the space group: Pm-3m, No. 221. The formation energy is -0.2675 eV/atom.

Geometry as POSCAR:
```
Sc3GePt
1.0
4.9728 0.0000 0.0000
0.0000 4.9728 0.0000
0.0000 0.0000 4.9728
Sc Ge Pt
3 1 1
direct
0.0000 0.0000 0.5000 Sc
0.0000 0.5000 0.0000 Sc
0.5000 0.0000 0.0000 Sc
0.5000 0.5000 0.5000 Ge
0.0000 0.0000 0.0000 Pt
```

Record 6
The following is a PBEsol calculation of crystalline TbTlW2O8 at its relaxed geometry, from Alexandria.

Calculated values
As for the space group: C2/c, No. 15.

Geometry as POSCAR:
```
TbTlW2O8
1.0
5.3355 -5.2470 0.0000
5.3355 5.2470 0.0000
-4.8530 0.0000 5.6671
Tb Tl W O
2 2 4 16
direct
0.2281 0.7719 0.7500 Tb
0.7719 0.2281 0.2500 Tb
0.2090 0.7910 0.2500 Tl
0.7910 0.2090 0.7500 Tl
0.3001 0.3057 0.7693 W
0.3057 0.3001 0.2693 W
0.6943 0.6999 0.7307 W
0.6999 0.6943 0.2307 W
0.0435 0.2089 0.1872 O
0.0668 0.3847 0.6256 O
0.2089 0.0435 0.6872 O
0.2385 0.3795 0.0536 O
0.3686 0.5847 0.5282 O
0.3795 0.2385 0.5536 O
0.3847 0.0668 0.1256 O
0.4153 0.6314 0.9718 O
0.5847 0.3686 0.0282 O
0.6153 0.9332 0.8744 O
0.6205 0.7615 0.4464 O
0.6314 0.4153 0.4718 O
0.7615 0.6205 0.9464 O
0.7911 0.9565 0.3128 O
0.9332 0.6153 0.3744 O
0.9565 0.7911 0.8128 O
```

Record 7
The following is a PBEsol calculation of crystalline CuIrPt2 at its relaxed geometry, from Alexandria.

Calculated values
As for the space group: Cm, No. 8. As for the energy above the lowest structure with this stoichiometry: 50.4 meV per atom. The formation energy is 0.0006 eV/atom.

Geometry as POSCAR:
```
CuIrPt2
1.0
4.4732 -1.3511 0.0000
4.4732 1.3511 0.0000
-0.8279 0.0000 4.6250
Cu Ir Pt
1 1 2
direct
0.0000 0.0000 0.0000 Cu
0.7445 0.7445 0.2635 Ir
0.2509 0.2509 0.7704 Pt
0.4942 0.4942 0.4912 Pt
```

Record 8
The following is a PBEsol calculation of crystalline LaPAu at its relaxed geometry, from Alexandria.

Calculated values
As for the space group: F-43m, No. 216. The formation energy is -0.6884 eV/atom.

Geometry as POSCAR:
```
LaPAu
1.0
0.0000 3.2913 3.2913
3.2913 0.0000 3.2913
3.2913 3.2913 0.0000
La P Au
1 1 1
direct
0.0000 0.0000 0.0000 La
0.7500 0.7500 0.7500 P
0.5000 0.5000 0.5000 Au
```

Record 9
The following is a PBEsol calculation of crystalline FeCuPt3 at its relaxed geometry, from Alexandria.

Calculated values
As for the space group: Pm-3m, No. 221. As for the energy above the lowest structure with this stoichiometry: 76.5 meV per atom. The formation energy is 1.2612 eV/atom.

Geometry as POSCAR:
```
FeCuPt3
1.0
4.4611 0.0000 0.0000
0.0000 4.4611 0.0000
0.0000 0.0000 4.4611
Fe Cu Pt
1 1 3
direct
0.0000 0.0000 0.0000 Fe
0.5000 0.5000 0.5000 Cu
0.0000 0.5000 0.5000 Pt
0.5000 0.0000 0.5000 Pt
0.5000 0.5000 0.0000 Pt
```

Record 10
The following is a PBEsol calculation of crystalline MgCdAg2 at its relaxed geometry, from Alexandria.

Calculated values
As for the space group: C2/m, No. 12. The formation energy is -0.1184 eV/atom.

Geometry as POSCAR:
```
MgCdAg2
1.0
4.7836 -1.4984 0.0000
4.7836 1.4984 0.0000
-0.9957 0.0000 5.0285
Mg Cd Ag
1 1 2
direct
0.0000 0.0000 0.0000 Mg
0.5000 0.5000 0.5000 Cd
0.2519 0.2519 0.7539 Ag
0.7481 0.7481 0.2461 Ag
```

Record 11
The following is a PBEsol calculation of crystalline HoZn3P3 at its relaxed geometry, from Alexandria.

Calculated values
As for the space group: P6_3/mmc, No. 194. The formation energy is -0.5947 eV/atom.

Geometry as POSCAR:
```
HoZn3P3
1.0
3.9408 0.0000 0.0000
-1.9704 3.4128 0.0000
0.0000 0.0000 19.4352
Ho Zn P
2 6 6
direct
0.0000 0.0000 0.0000 Ho
0.0000 0.0000 0.5000 Ho
0.3333 0.6667 0.1274 Zn
0.3333 0.6667 0.3726 Zn
0.3333 0.6667 0.7500 Zn
0.6667 0.3333 0.2500 Zn
0.6667 0.3333 0.6274 Zn
0.6667 0.3333 0.8726 Zn
0.3333 0.6667 0.2500 P
0.3333 0.6667 0.5838 P
0.3333 0.6667 0.9162 P
0.6667 0.3333 0.0838 P
0.6667 0.3333 0.4162 P
0.6667 0.3333 0.7500 P
```

Record 12
The following is a PBEsol calculation of crystalline SbAuCl4 at its relaxed geometry, from Alexandria.

Calculated values
As for the space group: F-43m, No. 216.

Geometry as POSCAR:
```
SbAuCl4
1.0
0.0000 3.9829 3.9829
3.9829 0.0000 3.9829
3.9829 3.9829 0.0000
Sb Au Cl
1 1 4
direct
0.0000 0.0000 0.0000 Sb
0.7500 0.7500 0.7500 Au
0.3757 0.3757 0.3757 Cl
0.3757 0.3757 0.8730 Cl
0.3757 0.8730 0.3757 Cl
0.8730 0.3757 0.3757 Cl
```

Record 13
The following is a PBEsol calculation of crystalline CoRe2Ni at its relaxed geometry, from Alexandria.

Calculated values
As for the space group: Fm-3m, No. 225. As for the energy above the lowest structure with this stoichiometry: 392.1 meV per atom. The formation energy is 0.3234 eV/atom.

Geometry as POSCAR:
```
CoRe2Ni
1.0
0.0000 2.9233 2.9233
2.9233 0.0000 2.9233
2.9233 2.9233 0.0000
Co Re Ni
1 2 1
direct
0.0000 0.0000 0.0000 Co
0.2500 0.2500 0.2500 Re
0.7500 0.7500 0.7500 Re
0.5000 0.5000 0.5000 Ni
```

Record 14
The following is a PBEsol calculation of crystalline Ba3CaZn at its relaxed geometry, from Alexandria.

Calculated values
As for the space group: Pm-3m, No. 221. The formation energy is 0.7527 eV/atom.

Geometry as POSCAR:
```
Ba3CaZn
1.0
6.5324 0.0000 0.0000
0.0000 6.5324 0.0000
0.0000 0.0000 6.5324
Ba Ca Zn
3 1 1
direct
0.0000 0.0000 0.5000 Ba
0.0000 0.5000 0.0000 Ba
0.5000 0.0000 0.0000 Ba
0.0000 0.0000 0.0000 Ca
0.5000 0.5000 0.5000 Zn
```

Record 15
The following is a PBEsol calculation of crystalline TaAl2Zn at its relaxed geometry, from Alexandria.

Calculated values
As for the space group: I4/mmm, No. 139. The formation energy is -0.1925 eV/atom.

Geometry as POSCAR:
```
TaAl2Zn
1.0
-1.8992 1.8992 4.2940
1.8992 -1.8992 4.2940
1.8992 1.8992 -4.2940
Ta Al Zn
1 2 1
direct
0.0000 0.0000 0.0000 Ta
0.2500 0.7500 0.5000 Al
0.7500 0.2500 0.5000 Al
0.5000 0.5000 0.0000 Zn
```

Record 16
The following is a PBEsol calculation of crystalline CrIrCl2 at its relaxed geometry, from Alexandria.

Calculated values
As for the space group: Pm, No. 6. As for the energy above the lowest structure with this stoichiometry: 0.0 meV per atom.

Geometry as POSCAR:
```
CrIrCl2
1.0
2.9688 0.0000 0.0000
0.0000 2.8570 0.0000
-0.0235 0.0000 8.1731
Cr Ir Cl
1 1 2
direct
0.0000 0.0000 0.0000 Cr
0.5014 0.5000 0.1757 Ir
0.5034 0.0000 0.4166 Cl
0.9984 0.5000 0.7906 Cl
```

Record 17
The following is a PBEsol calculation of crystalline CaMn4 at its relaxed geometry, from Alexandria.

Calculated values
As for the space group: I4/mmm, No. 139. The formation energy is 0.3512 eV/atom.

Geometry as POSCAR:
```
CaMn4
1.0
-1.9623 1.9623 4.5525
1.9623 -1.9623 4.5525
1.9623 1.9623 -4.5525
Ca Mn
1 4
direct
0.0000 0.0000 0.0000 Ca
0.2500 0.7500 0.5000 Mn
0.3721 0.3721 0.0000 Mn
0.6279 0.6279 0.0000 Mn
0.7500 0.2500 0.5000 Mn
```

Record 18
The following is a PBEsol calculation of crystalline BaZrTl2Cr at its relaxed geometry, from Alexandria.

Calculated values
As for the space group: P4/mmm, No. 123. The formation energy is 1.8091 eV/atom.

Geometry as POSCAR:
```
BaZrTl2Cr
1.0
5.9856 0.0000 0.0000
0.0000 5.9856 0.0000
0.0000 0.0000 5.4029
Ba Zr Tl Cr
1 1 2 1
direct
0.0000 0.0000 0.0000 Ba
0.0000 0.0000 0.5000 Zr
0.0000 0.5000 0.0000 Tl
0.5000 0.0000 0.0000 Tl
0.5000 0.5000 0.5000 Cr
```

Record 19
The following is a PBEsol calculation of crystalline Be2IrRh at its relaxed geometry, from Alexandria.

Calculated values
As for the space group: P4/mmm, No. 123. The formation energy is -0.5856 eV/atom.

Geometry as POSCAR:
```
Be2IrRh
1.0
3.9121 0.0000 0.0000
0.0000 3.9121 0.0000
0.0000 0.0000 2.7598
Be Ir Rh
2 1 1
direct
0.0000 0.5000 0.0000 Be
0.5000 0.0000 0.0000 Be
0.0000 0.0000 0.5000 Ir
0.5000 0.5000 0.5000 Rh
```

Record 20
The following is a PBEsol calculation of crystalline AlSiAgBi2 at its relaxed geometry, from Alexandria.

Calculated values
As for the space group: P4/mmm, No. 123.

Geometry as POSCAR:
```
AlSiAgBi2
1.0
5.4643 0.0000 0.0000
0.0000 5.4643 0.0000
0.0000 0.0000 4.6994
Al Si Ag Bi
1 1 1 2
direct
0.0000 0.0000 0.0000 Al
0.5000 0.5000 0.0000 Si
0.0000 0.0000 0.5000 Ag
0.0000 0.5000 0.5000 Bi
0.5000 0.0000 0.5000 Bi
```

Record 21
The following is a PBEsol calculation of crystalline LiCa2Pb2 at its relaxed geometry, from Alexandria.

Calculated values
As for the space group: P4/mbm, No. 127. The formation energy is -0.4754 eV/atom.

Geometry as POSCAR:
```
LiCa2Pb2
1.0
7.7796 0.0000 0.0000
0.0000 7.7796 0.0000
0.0000 0.0000 4.7430
Li Ca Pb
2 4 4
direct
0.0000 0.0000 0.0000 Li
0.5000 0.5000 0.0000 Li
0.1625 0.3375 0.5000 Ca
0.3375 0.8375 0.5000 Ca
0.6625 0.1625 0.5000 Ca
0.8375 0.6625 0.5000 Ca
0.1423 0.6423 0.0000 Pb
0.3577 0.1423 0.0000 Pb
0.6423 0.8577 0.0000 Pb
0.8577 0.3577 0.0000 Pb
```

Record 22
The following is a PBEsol calculation of crystalline ZrScHg2 at its relaxed geometry, from Alexandria.

Calculated values
As for the space group: Cmmm, No. 65. As for the energy above the lowest structure with this stoichiometry: 12.9 meV per atom. The formation energy is -0.3798 eV/atom.

Geometry as POSCAR:
```
ZrScHg2
1.0
3.1963 -4.1022 0.0000
3.1963 4.1022 0.0000
0.0000 0.0000 3.1344
Zr Sc Hg
1 1 2
direct
0.0000 0.0000 0.0000 Zr
0.5000 0.5000 0.0000 Sc
0.0000 0.5000 0.5000 Hg
0.5000 0.0000 0.5000 Hg
```

Record 23
The following is a PBEsol calculation of crystalline MnAsOs2 at its relaxed geometry, from Alexandria.

Calculated values
As for the space group: Cmmm, No. 65. The formation energy is 0.5929 eV/atom.

Geometry as POSCAR:
```
MnAsOs2
1.0
1.3950 -2.3134 0.0000
1.3950 2.3134 0.0000
0.0000 0.0000 8.9053
Mn As Os
1 1 2
direct
0.0000 0.0000 0.0000 Mn
0.0000 0.0000 0.5000 As
0.5000 0.5000 0.2312 Os
0.5000 0.5000 0.7688 Os
```

Record 24
The following is a PBEsol calculation of crystalline Cu12As4S13 at its relaxed geometry, from Alexandria.

Calculated values
As for the space group: I-43m, No. 217.

Geometry as POSCAR:
```
Cu12As4S13
1.0
-5.0146 5.0146 5.0146
5.0146 -5.0146 5.0146
5.0146 5.0146 -5.0146
Cu As S
12 4 13
direct
0.0000 0.2215 0.2215 Cu
0.0000 0.7785 0.7785 Cu
0.2215 0.0000 0.2215 Cu
0.2215 0.2215 0.0000 Cu
0.2500 0.5000 0.7500 Cu
0.2500 0.7500 0.5000 Cu
0.5000 0.2500 0.7500 Cu
0.5000 0.7500 0.2500 Cu
0.7500 0.2500 0.5000 Cu
0.7500 0.5000 0.2500 Cu
0.7785 0.0000 0.7785 Cu
0.7785 0.7785 0.0000 Cu
0.0000 0.0000 0.4664 As
0.0000 0.4664 0.0000 As
0.4664 0.0000 0.0000 As
0.5336 0.5336 0.5336 As
0.0000 0.0000 0.0000 S
0.0000 0.5192 0.7587 S
0.0000 0.7587 0.5192 S
0.2396 0.4808 0.4808 S
0.2413 0.2413 0.7604 S
0.2413 0.7604 0.2413 S
0.4808 0.2396 0.4808 S
0.4808 0.4808 0.2396 S
0.5192 0.0000 0.7587 S
0.5192 0.7587 0.0000 S
0.7587 0.0000 0.5192 S
0.7587 0.5192 0.0000 S
0.7604 0.2413 0.2413 S
```

Number 1: total DFT energy (no corrections) -2.6372 eV per atom. Number 2: total DFT energy (no corrections) -6.1684 eV per atom. Number 3: total DFT energy (no corrections) -3.5063 eV per atom. Number 4: total DFT energy (no corrections) -4.4859 eV per atom. Number 5: total DFT energy (no corrections) -6.6111 eV per atom. Number 6: total DFT energy (no corrections) -8.8142 eV per atom. Number 7: total DFT energy (no corrections) -7.0205 eV per atom. Number 8: total DFT energy (no corrections) -5.7089 eV per atom. Number 9: total DFT energy (no corrections) -5.5765 eV per atom. Number 10: total DFT energy (no corrections) -2.5025 eV per atom. Number 11: total DFT energy (no corrections) -4.4618 eV per atom. Number 12: total DFT energy (no corrections) -2.0990 eV per atom. Number 13: total DFT energy (no corrections) -9.8162 eV per atom. Number 14: total DFT energy (no corrections) -1.2797 eV per atom. Number 15: total DFT energy (no corrections) -5.7715 eV per atom. Number 16: total DFT energy (no corrections) -6.1661 eV per atom. Number 17: total DFT energy (no corrections) -7.8844 eV per atom. Number 18: total DFT energy (no corrections) -3.5391 eV per atom. Number 19: total DFT energy (no corrections) -7.0760 eV per atom. Number 20: total DFT energy (no corrections) -3.5369 eV per atom. Number 21: total DFT energy (no corrections) -3.3215 eV per atom. Number 22: total DFT energy (no corrections) -4.5870 eV per atom. Number 23: total DFT energy (no corrections) -9.2319 eV per atom. Number 24: total DFT energy (no corrections) -4.6890 eV per atom.